[1]
Compound: Pu3Br7Cl
Source: OQMD
Functional: PBE-GGA
Structure: optimized geometry

```
data_Pu3Br7Cl
_chemical_formula_sum 'Pu3 Br7 Cl1'
_space_group_name_H-M_alt 'P 3 m 1'
_space_group_IT_number 156
_cell_length_a 8.5931
_cell_length_b 8.5931
_cell_length_c 6.7987
_cell_angle_alpha 90.00
_cell_angle_beta 90.00
_cell_angle_gamma 120.00
loop_
_space_group_symop_operation_xyz
'x,y,z'
'-y,x-y,z'
'-x+y,-x,z'
'-y,-x,z'
'-x+y,y,z'
'x,x-y,z'
loop_
_atom_site_label
_atom_site_type_symbol
_atom_site_fract_x
_atom_site_fract_y
_atom_site_fract_z
Pu1 Pu 0.0027 0.5014 0.0000
Br1 Br 0.1742 0.3485 0.7663
Br2 Br 0.3487 0.1744 0.2295
Br3 Br 0.6667 0.3333 0.7597
Cl1 Cl 0.3333 0.6667 0.2084
```



[2]
Compound: Pu3Br3Cl4
Source: OQMD
Functional: PBE-GGA
Structure: optimized geometry

```
data_Pu3Br3Cl4
_chemical_formula_sum 'Pu12 Br12 Cl16'
_space_group_name_H-M_alt 'I -4 3 d'
_space_group_IT_number 220
_space_group_name_Hall 'I -4bd 2c 3'
_cell_length_a 10.318
_cell_length_b 10.318
_cell_length_c 10.318
_cell_angle_alpha 90.00
_cell_angle_beta 90.00
_cell_angle_gamma 90.00
loop_
_atom_site_label
_atom_site_type_symbol
_atom_site_fract_x
_atom_site_fract_y
_atom_site_fract_z
Pu1 Pu 0.000 0.250 0.875
Br1 Br 0.000 0.250 0.375
Cl1 Cl 0.079 0.079 0.079
```



[3]
# RbTaBr4Cl2 | OQMD | PBE-GGA | optimized geometry
data_RbTaBr4Cl2
_chemical_formula_sum 'Rb4 Ta4 Br16 Cl8'
_space_group_name_H-M_alt 'C 1 2/m 1'
_space_group_IT_number 12
_cell_length_a 14.610
_cell_length_b 35.392
_cell_length_c 3.499
_cell_angle_alpha 90.00
_cell_angle_beta 90.45
_cell_angle_gamma 90.00
loop_
_space_group_symop_operation_xyz
'x,y,z'
'-x,-y,-z'
'-x,y,-z'
'x,-y,z'
'x+1/2,y+1/2,z'
'-x+1/2,-y+1/2,-z'
'-x+1/2,y+1/2,-z'
'x+1/2,-y+1/2,z'
loop_
_atom_site_label
_atom_site_type_symbol
_atom_site_fract_x
_atom_site_fract_y
_atom_site_fract_z
Rb1 Rb 0.000 0.072 0.000
Ta1 Ta 0.250 0.250 0.500
Br1 Br 0.171 0.112 0.507
Br2 Br 0.210 0.199 0.999
Cl1 Cl 0.170 0.031 0.510
# - Energy relative to the lowest polymorph listed for this composition: 216.2 meV per atom



no.,total DFT energy (no corrections) (eV per atom),total magnetization (μB/atom)
1,-6.721,1.455
2,-7.264,1.701
3,-3.217,0.280